Entry 1:
An optimized crystal structure of V2GaFe. Source: Alexandria via LeMat-Bulk, functional PBE.

Lattice parameters (Å, degrees): 3.9875 3.6018 3.6018 90.00 90.00 90.00
Last column: magnetic moment on the atom in μB.
Fractional positions:
V1 0.0000 0.5000 0.0000  -0.15
Ga1 0.5000 0.0000 0.0000  -0.02
V2 0.0000 0.0000 0.5000  -0.15
Fe1 0.5000 0.5000 0.5000  1.68

DOS(E_F) = 0.978 states/eV/atom
DFT total energy = -7.575 eV per atom
crystal system = tetragonal

---

Entry 2:
An optimized crystal structure of V3Ga2Fe2. Source: Alexandria via LeMat-Bulk, functional PBE.

Lattice parameters (Å, degrees): 2.8583 5.1776 6.4109 100.33 90.37 104.94
Fractional positions:
Fe1 0.4281 0.8531 0.2660
V1 0.7055 0.4500 0.1504
Fe2 0.5719 0.1469 0.7340
V2 0.2945 0.5500 0.8496
V3 0.0000 0.0000 0.0000
Ga1 0.1140 0.2492 0.4323
Ga2 0.8860 0.7508 0.5677

DOS(E_F) = 0.706 states/eV/atom
energy relative to the lowest polymorph listed for this composition = 77.4 meV per atom
DFT total energy = -7.326 eV per atom
crystal system = triclinic

---

Entry 3:
An optimized crystal structure of V2GaFe. Source: Alexandria via LeMat-Bulk, functional PBE.

Lattice parameters (Å, degrees): 4.6184 4.6797 4.6797 89.55 90.00 90.00
Fractional positions:
V1 0.7500 0.9929 0.2411
Ga1 0.2500 0.0061 0.5096
Fe1 0.7500 0.9941 0.7498
V2 0.5000 0.5037 0.4963
V3 0.2500 0.7589 0.0071
Fe2 0.2500 0.2502 0.0059
Ga2 0.7500 0.4904 0.9939
V4 0.0000 0.5037 0.4963

DOS(E_F) = 0.672 states/eV/atom
DFT total energy = -7.658 eV per atom
crystal system = orthorhombic

---

Entry 4:
An optimized crystal structure of VGa2Fe. Source: Alexandria via LeMat-Bulk, functional PBE.

Lattice parameters (Å, degrees): 3.7494 3.8113 3.8113 90.00 90.00 90.00
Last column: magnetic moment on the atom in μB.
Fractional positions:
V1 0.5000 0.5000 0.5000  0.20
Ga1 0.0000 0.5000 0.0000  -0.02
Fe1 0.5000 0.0000 0.0000  2.39
Ga2 0.0000 0.0000 0.5000  -0.02

DOS(E_F) = 0.688 states/eV/atom
DFT total energy = -6.035 eV per atom
crystal system = tetragonal

---

Entry 5:
An optimized crystal structure of V6Ga2Fe. Source: Alexandria via LeMat-Bulk, functional PBE.

Lattice parameters (Å, degrees): 3.9649 5.9338 6.8386 115.71 103.12 90.00
Fractional positions:
V1 0.1392 0.3888 0.3166
Ga1 0.6417 0.6639 0.3278
V2 0.5000 0.2268 0.0000
Fe1 0.0000 0.0000 0.0000
V3 0.1392 0.9278 0.3166
V4 0.8608 0.6112 0.6834
Ga2 0.3583 0.3361 0.6722
V5 0.5000 0.7732 0.0000
V6 0.8608 0.0722 0.6834

DOS(E_F) = 0.955 states/eV/atom
DFT total energy = -7.298 eV per atom
crystal system = monoclinic

---

Entry 6:
An optimized crystal structure of V2Ga2Fe3. Source: Alexandria via LeMat-Bulk, functional PBE.

Lattice parameters (Å, degrees): 4.0353 4.0332 6.8391 90.00 107.05 119.92
Fractional positions:
Fe1 0.5220 0.2612 0.7806
V1 0.7605 0.3802 0.1422
Ga1 0.7422 0.8711 0.6113
Fe2 0.4780 0.7388 0.2194
Fe3 0.0000 0.0000 0.0000
V2 0.2395 0.6198 0.8578
Ga2 0.2579 0.1289 0.3887

DOS(E_F) = 0.733 states/eV/atom
DFT total energy = -7.260 eV per atom
crystal system = monoclinic